Below is a relaxed structure of SrLiMg4, with properties calculated at the PBE level.

Cell and atoms, written as POSCAR:
```
SrLiMg4
1.0
4.719 0.000 0.000
0.000 7.723 0.000
-2.360 0.000 8.993
Sr Li Mg
2 2 8
Direct
0.120 0.250 0.239
0.880 0.750 0.761
0.233 0.750 0.466
0.767 0.250 0.534
0.500 0.500 0.000
0.500 0.000 0.000
0.680 0.941 0.360
0.320 0.059 0.640
0.320 0.441 0.640
0.680 0.559 0.360
0.077 0.750 0.153
0.923 0.250 0.847
```

Values from the calculation:
Formation energy from the elements   0.007 eV/atom
Fermi-level density of states   0.69 states/eV/atom
Space group   Cmcm (63)
E_tot   -9.9 eV/f.u.
Relative energy among the computed polymorphs   22 meV per atom

Below is a relaxed structure of LiPr2PdRh, with properties calculated at the PBE level.

Cell and atoms, written as POSCAR:
```
LiPr2PdRh
1.0
4.139 0.000 0.000
0.000 4.139 0.000
0.000 0.000 13.753
Li Pr Pd Rh
2 4 2 2
Direct
0.000 0.000 0.500
0.500 0.500 0.500
0.000 0.500 0.696
0.000 0.500 0.112
0.500 0.000 0.888
0.500 0.000 0.304
0.500 0.000 0.637
0.000 0.500 0.363
0.500 0.000 0.105
0.000 0.500 0.895
```

Values from the calculation:
Formation energy from the elements   -0.558 eV/atom
Fermi-level density of states   0.47 states/eV/atom
Space group   P4/nmm (129)
E_tot   -26.8 eV/f.u.

Below is a relaxed structure of Sr2ScCu2Se4, with properties calculated at the PBE level.

Cell and atoms, written as POSCAR:
```
Sr2ScCu2Se4
1.0
3.999 0.000 0.000
0.000 7.336 0.081
-2.000 -2.824 6.907
Sr Sc Cu Se
2 1 2 4
Direct
0.133 0.574 0.267
0.867 0.426 0.733
0.000 0.000 0.000
0.686 0.990 0.372
0.314 0.010 0.628
0.201 0.207 0.402
0.799 0.793 0.598
0.517 0.751 0.034
0.483 0.249 0.966
```

Values from the calculation:
Fermi-level density of states   0.39 states/eV/atom
Space group   C2/m (12)
E_tot   -42.9 eV/f.u.
Formation energy (no corrections)   -1.23 eV/atom